Record 1
Computed, not measured: a PBEsol-optimized structure of Os2Pt at the SCAN level of DFT.

Unit cell a=2.7261 b=5.2209 c=6.4237 alpha=103.51 beta=90.00 gamma=105.13
Element x y z (fractional)
Os (0.3086, 0.6171, 0.8679)
Os (0.9711, 0.9422, 0.1829)
Os (0.0289, 0.0578, 0.8171)
Os (0.6914, 0.3829, 0.1321)
Pt (0.6369, 0.2738, 0.5298)
Pt (0.3631, 0.7262, 0.4702)

Output
Energy of formation from the pure elements ... 0.096 eV/atom
Distance to the lowest polymorph of the same formula ... 24 meV per atom
Symmetry ... No. 12

Record 2
Computed, not measured: a PBEsol-optimized structure of Os2Pt at the SCAN level of DFT.

Unit cell a=2.6309 b=4.4605 c=4.4605 alpha=90.00 beta=90.00 gamma=90.00
Element x y z (fractional)
Os (0.5000, 0.5000, 0.0000)
Os (0.5000, 0.0000, 0.5000)
Pt (0.0000, 0.0000, 0.0000)

Output
Energy of formation from the pure elements ... 1.374 eV/atom
Distance to the lowest polymorph of the same formula ... 1302 meV per atom
Symmetry ... No. 123

Record 3
Computed, not measured: a PBEsol-optimized structure of OsPt at the SCAN level of DFT.

Unit cell a=2.7501 b=2.7501 c=8.8915 alpha=90.00 beta=90.00 gamma=120.00
Element x y z (fractional)
Pt (0.6667, 0.3333, 0.6335)
Pt (0.3333, 0.6667, 0.3665)
Os (0.3333, 0.6667, 0.8844)
Os (0.6667, 0.3333, 0.1156)

Output
Energy of formation from the pure elements ... 0.077 eV/atom
Symmetry ... No. 164

Which value of energy of formation from the pure elements does entry 1 give? 0.096 eV/atom

Which value of energy of formation from the pure elements does entry 1 give? 0.096 eV/atom